Entry 1:
The following is a DFT calculation (PBE) of an optimized crystal structure of PmScAl.

## Properties
**Magnetization**: 0.64 μB/f.u.
**DOS at the Fermi energy**: 1.06 states/eV/atom
**Distance to the lowest polymorph of the same formula**: 58 meV per atom
**Theoretical density**: 4.675 g cm⁻³
**Volume**: 154.1 Å³ per cell
**DFT formation energy**: -0.6 eV/f.u.

Lattice parameters (Å, degrees): 3.4187 3.4187 13.4053 97.33 97.33 90.00
Closest atoms and distances in Å follow each position.
Positions (direct):
Pm (0.5702, 0.5702, 0.1404)  4 Al 3.14, 4 Pm 3.42
Pm (0.4298, 0.4298, 0.8596)  4 Al 3.14, 4 Pm 3.42
Sc (0.2894, 0.2894, 0.5787)  4 Al 2.96, 4 Sc 3.19
Sc (0.7106, 0.7106, 0.4213)  4 Al 2.96, 4 Sc 3.19
Al (0.1460, 0.1460, 0.2920)  4 Sc 2.96, 4 Pm 3.14
Al (0.8540, 0.8540, 0.7080)  4 Sc 2.96, 4 Pm 3.14

=====

Entry 2:
The following is a DFT calculation (PBE) of an optimized crystal structure of PmSc3Al.

## Properties
**Magnetization**: 0.00 μB/f.u.
**DOS at the Fermi energy**: 1.36 states/eV/atom
**Theoretical density**: 3.919 g cm⁻³
**Volume**: 260.0 Å³ per cell
**DFT formation energy**: 0.0 eV/f.u.

Lattice parameters (Å, degrees): 5.5882 7.3306 7.3301 120.00 90.00 90.00
Closest atoms and distances in Å follow each position.
Positions (direct):
Pm (0.7500, 0.6667, 0.3334)  12 Sc 3.33-3.68
Pm (0.2500, 0.3333, 0.6667)  12 Sc 3.33-3.68
Sc (0.7500, 0.6196, 0.8099)  2 Al 2.79
Sc (0.2500, 0.8098, 0.6196)  2 Al 2.79
Sc (0.2500, 0.3804, 0.1901)  2 Al 2.79
Sc (0.7500, 0.1902, 0.3804)  2 Al 2.79
Sc (0.2500, 0.8097, 0.1901)  2 Al 2.79
Sc (0.7500, 0.1903, 0.8099)  2 Al 2.79
Al (0.0000, 0.0000, 0.0000)  6 Sc 2.79, 2 Al 2.79
Al (0.5000, 0.0000, 0.0000)  6 Sc 2.79, 2 Al 2.79

=====

Entry 3:
The following is a DFT calculation (PBE) of an optimized crystal structure of PmSc2Al.

## Properties
**Magnetization**: 0.05 μB/f.u.
**DOS at the Fermi energy**: 1.46 states/eV/atom
**Distance to the lowest polymorph of the same formula**: 21 meV per atom
**Theoretical density**: 4.497 g cm⁻³
**Volume**: 96.7 Å³ per cell
**DFT formation energy**: -0.7 eV/f.u.

Lattice parameters (Å, degrees): 4.5917 4.5890 4.5890 90.00 90.00 90.00
Closest atoms and distances in Å follow each position.
Positions (direct):
Sc (0.0000, 0.0000, 0.5000)  4 Sc 3.24, 4 Al 3.25, 4 Pm 3.25
Sc (0.0000, 0.5000, 0.0000)  4 Sc 3.24, 4 Pm 3.25, 4 Al 3.25
Al (0.5000, 0.0000, 0.0000)  4 Pm 3.24, 8 Sc 3.25
Pm (0.5000, 0.5000, 0.5000)  4 Al 3.24, 8 Sc 3.25

=====

Entry 4:
The following is a DFT calculation (PBE) of an optimized crystal structure of PmSc2Al3.

## Properties
**Magnetization**: 0.00 μB/f.u.
**DOS at the Fermi energy**: 0.47 states/eV/atom
**Theoretical density**: 4.128 g cm⁻³
**Volume**: 127.0 Å³ per cell
**DFT formation energy**: -2.5 eV/f.u.

Lattice parameters (Å, degrees): 3.4742 3.4742 10.5255 90.00 90.00 90.00
Closest atoms and distances in Å follow each position.
Positions (direct):
Pm (0.5000, 0.5000, 0.5000)  8 Al 3.20, 4 Pm 3.47
Sc (0.5000, 0.5000, 0.8450)  8 Al 2.93-2.95, 1 Sc 3.26
Sc (0.5000, 0.5000, 0.1550)  8 Al 2.93-2.95, 1 Sc 3.26
Al (0.0000, 0.0000, 0.0000)  8 Sc 2.95, 2 Al 3.22
Al (0.0000, 0.0000, 0.6941)  4 Sc 2.93, 4 Pm 3.20, 1 Al 3.22
Al (0.0000, 0.0000, 0.3059)  4 Sc 2.93, 4 Pm 3.20, 1 Al 3.22

=====

Entry 5:
The following is a DFT calculation (PBE) of an optimized crystal structure of PmSmScAl.

## Properties
**Magnetization**: 0.00 μB/f.u.
**DOS at the Fermi energy**: 1.73 states/eV/atom
**Theoretical density**: 5.725 g cm⁻³
**Volume**: 106.5 Å³ per cell
**DFT formation energy**: -0.4 eV/f.u.

Lattice parameters (Å, degrees): 5.3212 5.3212 5.3212 60.00 60.00 60.00
Closest atoms and distances in Å follow each position.
Positions (direct):
Sc (0.7500, 0.7500, 0.7500)  4 Pm 3.26, 4 Sm 3.26
Al (0.2500, 0.2500, 0.2500)  4 Sm 3.26, 4 Pm 3.26
Sm (0.0000, 0.0000, 0.0000)  4 Sc 3.26, 4 Al 3.26
Pm (0.5000, 0.5000, 0.5000)  4 Al 3.26, 4 Sc 3.26

=====

Entry 6:
The following is a DFT calculation (PBE) of an optimized crystal structure of PmScAlSn.

## Properties
**Magnetization**: 0.00 μB/f.u.
**DOS at the Fermi energy**: 0.75 states/eV/atom
**Theoretical density**: 5.731 g cm⁻³
**Volume**: 97.3 Å³ per cell
**DFT formation energy**: -1.6 eV/f.u.

Lattice parameters (Å, degrees): 5.1618 5.1618 5.1618 60.00 60.00 60.00
Closest atoms and distances in Å follow each position.
Positions (direct):
Sc (0.2500, 0.2500, 0.2500)  4 Sn 3.16, 4 Al 3.16
Al (0.5000, 0.5000, 0.5000)  4 Pm 3.16, 4 Sc 3.16
Sn (0.0000, 0.0000, 0.0000)  4 Sc 3.16, 4 Pm 3.16
Pm (0.7500, 0.7500, 0.7500)  4 Al 3.16, 4 Sn 3.16

=====

Entry 7:
The following is a DFT calculation (PBE) of an optimized crystal structure of PmScTiAl.

## Properties
**Magnetization**: 2.41 μB/f.u.
**DOS at the Fermi energy**: 1.12 states/eV/atom
**Theoretical density**: 4.816 g cm⁻³
**Volume**: 91.3 Å³ per cell
**DFT formation energy**: -0.2 eV/f.u.

Lattice parameters (Å, degrees): 5.0542 5.0542 5.0542 60.00 60.00 60.00
Closest atoms and distances in Å follow each position.
Positions (direct):
Sc (0.5000, 0.5000, 0.5000)  4 Al 3.10, 4 Ti 3.10
Ti (0.2500, 0.2500, 0.2500)  4 Pm 3.10, 4 Sc 3.10
Al (0.7500, 0.7500, 0.7500)  4 Sc 3.10, 4 Pm 3.10
Pm (0.0000, 0.0000, 0.0000)  4 Ti 3.10, 4 Al 3.10

=====

Entry 8:
The following is a DFT calculation (PBE) of an optimized crystal structure of PmTmScAl.

## Properties
**Magnetization**: 0.61 μB/f.u.
**DOS at the Fermi energy**: 1.47 states/eV/atom
**Theoretical density**: 6.239 g cm⁻³
**Volume**: 102.7 Å³ per cell
**DFT formation energy**: -0.4 eV/f.u.

Lattice parameters (Å, degrees): 5.2564 5.2564 5.2564 60.00 60.00 60.00
Closest atoms and distances in Å follow each position.
Positions (direct):
Sc (0.5000, 0.5000, 0.5000)  4 Pm 3.22, 4 Tm 3.22
Tm (0.7500, 0.7500, 0.7500)  4 Sc 3.22, 4 Al 3.22
Al (0.0000, 0.0000, 0.0000)  4 Tm 3.22, 4 Pm 3.22
Pm (0.2500, 0.2500, 0.2500)  4 Al 3.22, 4 Sc 3.22

=====

Entry 9:
The following is a DFT calculation (PBE) of an optimized crystal structure of Pm2AlSe.

## Properties
**Magnetization**: 0.00 μB/f.u.
**DOS at the Fermi energy**: 0.53 states/eV/atom
**Distance to the lowest polymorph of the same formula**: 0 meV per atom
**Theoretical density**: 6.128 g cm⁻³
**Volume**: 214.6 Å³ per cell

Lattice parameters (Å, degrees): 4.1835 4.3863 11.8969 100.62 90.00 90.00
Closest atoms and distances in Å follow each position.
Positions (direct):
Pm (0.7500, 0.6817, 0.3634)  5 Se 2.94-3.04
Pm (0.2500, 0.3183, 0.6366)  5 Se 2.94-3.04
Pm (0.7500, 0.9324, 0.8647)  1 Se 2.92, 4 Al 3.11
Pm (0.2500, 0.0676, 0.1353)  1 Se 2.92, 4 Al 3.11
Al (0.2500, 0.4630, 0.9260)  2 Al 2.72
Al (0.7500, 0.5370, 0.0740)  2 Al 2.72
Se (0.2500, 0.1925, 0.3849)  6 Pm 2.92-3.04
Se (0.7500, 0.8075, 0.6151)  6 Pm 2.92-3.04

=====

Entry 10:
The following is a DFT calculation (PBE) of an optimized crystal structure of Pm5Al2Se2.

## Properties
**Magnetization**: 0.00 μB/f.u.
**DOS at the Fermi energy**: 1.09 states/eV/atom
**Theoretical density**: 6.436 g cm⁻³
**Volume**: 483.5 Å³ per cell
**Total DFT energy (no corrections)**: -93.72 eV per cell

Lattice parameters (Å, degrees): 7.9341 7.9561 8.6251 90.00 62.62 90.00
Closest atoms and distances in Å follow each position.
Positions (direct):
Pm (0.0000, 0.0000, 0.0000)  2 Se 3.02, 4 Al 3.16-3.19
Pm (0.5000, 0.5000, 0.0000)  2 Se 3.02, 4 Al 3.16-3.19
Pm (0.4706, 0.1631, 0.7150)  3 Se 3.03-3.12, 3 Al 3.15-3.25
Pm (0.8144, 0.8369, 0.7150)  3 Se 3.03-3.12, 3 Al 3.15-3.25
Pm (0.3144, 0.6631, 0.7150)  3 Se 3.03-3.12, 3 Al 3.15-3.25
Pm (0.9706, 0.3369, 0.7150)  3 Se 3.03-3.12, 3 Al 3.15-3.25
Pm (0.5294, 0.8369, 0.2850)  3 Se 3.03-3.12, 3 Al 3.15-3.25
Pm (0.1856, 0.1631, 0.2850)  3 Se 3.03-3.12, 3 Al 3.15-3.25
Pm (0.6856, 0.3369, 0.2850)  3 Se 3.03-3.12, 3 Al 3.15-3.25
Pm (0.0294, 0.6631, 0.2850)  3 Se 3.03-3.12, 3 Al 3.15-3.25
Al (0.1199, 0.3827, 0.0000)  1 Al 2.67
Al (0.8801, 0.6173, 0.0000)  1 Al 2.67
Al (0.3801, 0.8827, 0.0000)  1 Al 2.67
Al (0.6199, 0.1173, 0.0000)  1 Al 2.67
Se (0.1969, 0.0000, 0.6062)  7 Pm 3.02-3.12
Se (0.6969, 0.5000, 0.6062)  7 Pm 3.02-3.12
Se (0.8031, 0.0000, 0.3938)  7 Pm 3.02-3.12
Se (0.3031, 0.5000, 0.3938)  7 Pm 3.02-3.12